First-principles (PBE+U) data for a relaxed structure of SrV2IrO8, as listed in the Alexandria database.

Cell: 5.602 5.602 6.810 Å, 90.00 90.00 120.00°
Fractional positions:
O: 0.318 0.159 0.181
O: 0.667 0.333 0.501
Ir: 0.000 0.000 0.000
O: 0.333 0.667 0.499
O: 0.159 0.841 0.819
V: 0.333 0.667 0.745
O: 0.841 0.682 0.181
O: 0.159 0.318 0.819
O: 0.682 0.841 0.819
V: 0.667 0.333 0.255
O: 0.841 0.159 0.181
Sr: 0.000 0.000 0.500

Output
VASP energy, eV per atom: -7.21
Theoretical density, g/cm³: 4.57
Space-group type: P-3m1, No. 164